Entry 1:
Compound: TiPd2Pt8
Source: Alexandria
Functional: PBE-GGA
Structure: relaxed

Cell lengths 8.1629, 11.0178, 4.0173 Å; angles 90.00, 90.00, 90.00 degrees
Space group Cmmm (No. 65)
Inequivalent atoms, fractional coordinates:
Ti  0.0000  0.0000  0.0000 (multiplicity 2)
Pd  0.0000  0.3790  0.5000 (multiplicity 4)
Pt  0.0000  0.2337  0.0000 (multiplicity 4)
Pt  0.1704  0.1279  0.5000 (multiplicity 8)
Pt  0.1735  0.5000  0.0000 (multiplicity 4)

Computed properties:
ΔE_f   -0.20 eV/atom
Volume   361.30 Å³ per cell
ρ   16.742 Mg/m³

---

Entry 2:
Compound: TiPd2Pt
Source: Alexandria
Functional: PBE-GGA
Structure: relaxed

Cell lengths 4.5155, 5.5884, 9.6485 Å; angles 90.00, 90.00, 90.00 degrees
Space group Amm2 (No. 38)
Inequivalent atoms, fractional coordinates:
Ti  0.0000  0.0000  0.0000 (multiplicity 2)
Ti  0.5000  0.0000  0.3292 (multiplicity 2)
Pd  0.0000  0.0000  0.4972 (multiplicity 2)
Pd  0.0000  0.2489  0.2490 (multiplicity 4)
Pd  0.5000  0.0000  0.8305 (multiplicity 2)
Pt  0.5000  0.2489  0.0793 (multiplicity 4)

Computed properties:
ΔE_f   -0.72 eV/atom
Volume   243.47 Å³ per cell
ρ   12.434 Mg/m³

---

Entry 3:
Compound: TiPd3Pt
Source: Alexandria
Functional: PBE-GGA
Structure: relaxed

Cell lengths 4.8383, 4.8383, 4.8383 Å; angles 90.00, 90.00, 90.00 degrees
Space group Pm-3m (No. 221)
Inequivalent atoms, fractional coordinates:
Ti  0.0000  0.0000  0.0000 (multiplicity 1)
Pd  0.0000  0.5000  0.5000 (multiplicity 3)
Pt  0.5000  0.5000  0.5000 (multiplicity 1)

Computed properties:
ΔE_f   1.08 eV/atom
Volume   113.26 Å³ per cell
ρ   8.243 Mg/m³
Distance to the lowest polymorph of the same formula   1322 meV/atom

---

Entry 4:
Compound: Ti5Pd8Pt
Source: Alexandria
Functional: PBE-GGA
Structure: relaxed

Cell lengths 7.7512, 7.7512, 7.6310 Å; angles 90.00, 90.00, 90.00 degrees
Space group I-4 (No. 82)
Inequivalent atoms, fractional coordinates:
Ti  0.0000  0.0000  0.0000 (multiplicity 2)
Ti  0.1421  0.2089  0.4059 (multiplicity 8)
Pd  0.0656  0.3340  0.0891 (multiplicity 8)
Pd  0.1015  0.1625  0.7354 (multiplicity 8)
Pt  0.0000  0.5000  0.7500 (multiplicity 2)

Computed properties:
ΔE_f   -0.36 eV/atom
Volume   458.48 Å³ per cell
ρ   9.314 Mg/m³

---

Entry 5:
Compound: TiPd3Pt
Source: Alexandria
Functional: PBE-GGA
Structure: relaxed

Cell lengths 4.5507, 4.5507, 4.5507 Å; angles 90.00, 90.00, 90.00 degrees
Space group Pm-3m (No. 221)
Inequivalent atoms, fractional coordinates:
Ti  0.0000  0.0000  0.0000 (multiplicity 1)
Pd  0.0000  0.0000  0.5000 (multiplicity 3)
Pt  0.5000  0.5000  0.5000 (multiplicity 1)

Computed properties:
ΔE_f   0.61 eV/atom
Volume   94.24 Å³ per cell
ρ   9.906 Mg/m³
Distance to the lowest polymorph of the same formula   855 meV/atom

---

Entry 6:
Compound: Ti6Pd2Pt
Source: Alexandria
Functional: PBE-GGA
Structure: relaxed

Cell lengths 13.6636, 6.0738, 4.3435 Å; angles 90.00, 108.46, 90.00 degrees
Space group C2/m (No. 12)
Inequivalent atoms, fractional coordinates:
Ti  0.0000  0.2480  0.0000 (multiplicity 4)
Ti  0.1653  0.2495  0.6654 (multiplicity 8)
Pd  0.1680  0.5000  0.1681 (multiplicity 4)
Pt  0.0000  0.0000  0.5000 (multiplicity 2)

Computed properties:
ΔE_f   -0.13 eV/atom
Volume   341.93 Å³ per cell
ρ   6.752 Mg/m³

---

Entry 7:
Compound: TiPd5Pt2
Source: Alexandria
Functional: PBE-GGA
Structure: relaxed

Cell lengths 5.5991, 11.1963, 3.9157 Å; angles 90.00, 90.00, 90.00 degrees
Space group Pbam (No. 55)
Inequivalent atoms, fractional coordinates:
Ti  0.0000  0.0000  0.0000 (multiplicity 2)
Pd  0.0000  0.5000  0.0000 (multiplicity 2)
Pd  0.0008  0.2446  0.0000 (multiplicity 4)
Pd  0.2490  0.8756  0.5000 (multiplicity 4)
Pt  0.2435  0.1198  0.5000 (multiplicity 4)

Computed properties:
ΔE_f   -0.41 eV/atom
Volume   245.47 Å³ per cell
ρ   13.125 Mg/m³

---

Entry 8:
Compound: Ti7Pd2Pt
Source: Alexandria
Functional: PBE-GGA
Structure: relaxed

Cell lengths 9.3242, 9.3242, 9.3242 Å; angles 90.00, 90.00, 90.00 degrees
Space group Fm-3m (No. 225)
Inequivalent atoms, fractional coordinates:
Ti  0.0000  0.0000  0.0000 (multiplicity 4)
Ti  0.0000  0.0000  0.2432 (multiplicity 24)
Pd  0.2500  0.2500  0.2500 (multiplicity 8)
Pt  0.0000  0.0000  0.5000 (multiplicity 4)

Computed properties:
ΔE_f   0.63 eV/atom
Volume   810.66 Å³ per cell
ρ   6.088 Mg/m³

---

Entry 9:
Compound: TiPd3Pt
Source: Alexandria
Functional: PBE-GGA
Structure: relaxed

Cell lengths 8.4819, 8.0183, 5.0630 Å; angles 90.00, 90.00, 90.00 degrees
Space group Ima2 (No. 46)
Inequivalent atoms, fractional coordinates:
Ti  0.2500  0.1360  0.0000 (multiplicity 4)
Pd  0.0133  0.1764  0.3071 (multiplicity 8)
Pd  0.2500  0.0113  0.5366 (multiplicity 4)
Pt  0.2500  0.6631  0.5052 (multiplicity 4)

Computed properties:
ΔE_f   -0.24 eV/atom
Volume   344.33 Å³ per cell
ρ   10.845 Mg/m³
Distance to the lowest polymorph of the same formula   0 meV/atom

---

Entry 10:
Compound: Ti2Pd5Pt
Source: Alexandria
Functional: PBE-GGA
Structure: relaxed

Cell lengths 5.5664, 11.1361, 3.9162 Å; angles 90.00, 90.00, 90.00 degrees
Space group Pbam (No. 55)
Inequivalent atoms, fractional coordinates:
Ti  0.2435  0.1235  0.0000 (multiplicity 4)
Pd  0.0000  0.5000  0.5000 (multiplicity 2)
Pd  0.0043  0.7501  0.5000 (multiplicity 4)
Pd  0.2464  0.3742  0.0000 (multiplicity 4)
Pt  0.0000  0.0000  0.5000 (multiplicity 2)

Computed properties:
ΔE_f   -0.68 eV/atom
Volume   242.75 Å³ per cell
ρ   11.258 Mg/m³

---

Entry 11:
Compound: Ti6PdPt
Source: Alexandria
Functional: PBE-GGA
Structure: relaxed

Cell lengths 6.5482, 8.8705, 4.4389 Å; angles 90.00, 90.00, 90.00 degrees
Space group Cmmm (No. 65)
Inequivalent atoms, fractional coordinates:
Ti  0.0000  0.2488  0.0000 (multiplicity 4)
Ti  0.2471  0.0000  0.0000 (multiplicity 4)
Ti  0.2500  0.2500  0.5000 (multiplicity 4)
Pd  0.0000  0.5000  0.5000 (multiplicity 2)
Pt  0.0000  0.0000  0.5000 (multiplicity 2)

Computed properties:
ΔE_f   -0.38 eV/atom
Volume   257.84 Å³ per cell
ρ   7.583 Mg/m³
Distance to the lowest polymorph of the same formula   112 meV/atom

---

Entry 12:
Compound: Ti4Pd3Pt2
Source: Alexandria
Functional: PBE-GGA
Structure: relaxed

Cell lengths 8.6209, 3.9761, 8.4820 Å; angles 90.00, 104.83, 90.00 degrees
Space group C2/m (No. 12)
Inequivalent atoms, fractional coordinates:
Ti  0.0186  0.0000  0.3367 (multiplicity 4)
Ti  0.1661  0.5000  0.8877 (multiplicity 4)
Pd  0.0000  0.0000  0.0000 (multiplicity 2)
Pd  0.1622  0.5000  0.5604 (multiplicity 4)
Pt  0.1713  0.5000  0.2118 (multiplicity 4)

Computed properties:
ΔE_f   -0.71 eV/atom
Volume   281.06 Å³ per cell
ρ   10.645 Mg/m³

---

Entry 13:
Compound: TiPdPt6
Source: Alexandria
Functional: PBE-GGA
Structure: relaxed

Cell lengths 5.6206, 5.6206, 3.9052 Å; angles 90.00, 90.00, 90.00 degrees
Space group P4/mmm (No. 123)
Inequivalent atoms, fractional coordinates:
Ti  0.0000  0.0000  0.0000 (multiplicity 1)
Pd  0.5000  0.5000  0.0000 (multiplicity 1)
Pt  0.0000  0.5000  0.0000 (multiplicity 2)
Pt  0.2453  0.2453  0.5000 (multiplicity 4)

Computed properties:
ΔE_f   -0.49 eV/atom
Volume   123.37 Å³ per cell
ρ   17.832 Mg/m³

---

Entry 14:
Compound: TiPd2Pt
Source: Alexandria
Functional: PBE-GGA
Structure: relaxed

Cell lengths 6.2902, 6.2902, 6.2902 Å; angles 90.00, 90.00, 90.00 degrees
Space group Fm-3m (No. 225)
Inequivalent atoms, fractional coordinates:
Ti  0.0000  0.0000  0.0000 (multiplicity 4)
Pd  0.2500  0.2500  0.2500 (multiplicity 8)
Pt  0.0000  0.0000  0.5000 (multiplicity 4)

Computed properties:
ΔE_f   -0.49 eV/atom
Volume   248.88 Å³ per cell
ρ   12.164 Mg/m³

---

Entry 15:
Compound: TiPd2Pt
Source: Alexandria
Functional: PBE-GGA
Structure: relaxed

Cell lengths 7.0768, 7.0768, 5.3322 Å; angles 90.00, 90.00, 90.00 degrees
Space group I-42d (No. 122)
Inequivalent atoms, fractional coordinates:
Ti  0.0000  0.0000  0.0000 (multiplicity 4)
Pd  0.2242  0.7500  0.1250 (multiplicity 8)
Pt  0.0000  0.0000  0.5000 (multiplicity 4)

Computed properties:
ΔE_f   -0.23 eV/atom
Volume   267.04 Å³ per cell
ρ   11.337 Mg/m³

---

Entry 16:
Compound: Ti2Pd2Pt5
Source: Alexandria
Functional: PBE-GGA
Structure: relaxed

Cell lengths 12.7097, 8.7920, 5.3871 Å; angles 90.00, 90.00, 90.00 degrees
Space group Ima2 (No. 46)
Inequivalent atoms, fractional coordinates:
Ti  0.1174  0.0034  0.0000 (multiplicity 8)
Pd  0.0000  0.0000  0.3945 (multiplicity 4)
Pd  0.2500  0.0125  0.6135 (multiplicity 4)
Pt  0.0579  0.7159  0.2216 (multiplicity 8)
Pt  0.1465  0.2282  0.3179 (multiplicity 8)
Pt  0.2500  0.7167  0.4643 (multiplicity 4)

Computed properties:
ΔE_f   -0.39 eV/atom
Volume   601.97 Å³ per cell
ρ   14.168 Mg/m³
Distance to the lowest polymorph of the same formula   283 meV/atom

---

Entry 17:
Compound: TiPd2Pt2
Source: Alexandria
Functional: PBE-GGA
Structure: relaxed

Cell lengths 3.5833, 3.5833, 13.3377 Å; angles 90.00, 90.00, 90.00 degrees
Space group I4/mmm (No. 139)
Inequivalent atoms, fractional coordinates:
Ti  0.0000  0.0000  0.0000 (multiplicity 2)
Pd  0.0000  0.5000  0.2500 (multiplicity 4)
Pt  0.0000  0.0000  0.4043 (multiplicity 4)

Computed properties:
ΔE_f   -0.21 eV/atom
Volume   171.26 Å³ per cell
ρ   12.622 Mg/m³
Distance to the lowest polymorph of the same formula   142 meV/atom

---

Entry 18:
Compound: TiPd6Pt3
Source: Alexandria
Functional: PBE-GGA
Structure: relaxed

Cell lengths 7.9609, 3.9726, 9.9673 Å; angles 90.00, 101.48, 90.00 degrees
Space group P2_1/m (No. 11)
Inequivalent atoms, fractional coordinates:
Ti  0.1559  0.2500  0.0019 (multiplicity 2)
Pd  0.0712  0.7500  0.8180 (multiplicity 2)
Pd  0.1641  0.7500  0.1857 (multiplicity 2)
Pd  0.2195  0.2500  0.3981 (multiplicity 2)
Pd  0.2693  0.7500  0.6020 (multiplicity 2)
Pd  0.3741  0.7500  0.0013 (multiplicity 2)
Pd  0.4723  0.7500  0.4001 (multiplicity 2)
Pt  0.0245  0.2500  0.6034 (multiplicity 2)
Pt  0.3193  0.2500  0.8012 (multiplicity 2)
Pt  0.4208  0.2500  0.2012 (multiplicity 2)

Computed properties:
ΔE_f   -0.30 eV/atom
Volume   308.91 Å³ per cell
ρ   13.671 Mg/m³

---

Entry 19:
Compound: TiPd8Pt5
Source: Alexandria
Functional: PBE-GGA
Structure: relaxed

Cell lengths 7.6019, 7.6019, 7.9415 Å; angles 90.00, 90.00, 90.00 degrees
Space group I-4 (No. 82)
Inequivalent atoms, fractional coordinates:
Ti  0.0000  0.0000  0.0000 (multiplicity 2)
Pd  0.0633  0.8336  0.6610 (multiplicity 8)
Pd  0.1012  0.6978  0.9968 (multiplicity 8)
Pt  0.0000  0.5000  0.7500 (multiplicity 2)
Pt  0.1101  0.7020  0.3300 (multiplicity 8)

Computed properties:
ΔE_f   0.00 eV/atom
Volume   458.93 Å³ per cell
ρ   13.566 Mg/m³

---

Entry 20:
Compound: Ti4Pd12Pt
Source: Alexandria
Functional: PBE-GGA
Structure: relaxed

Cell lengths 8.2358, 8.2358, 8.2358 Å; angles 90.00, 90.00, 90.00 degrees
Space group Im-3m (No. 229)
Inequivalent atoms, fractional coordinates:
Ti  0.2500  0.2500  0.2500 (multiplicity 8)
Pd  0.0000  0.0000  0.2991 (multiplicity 12)
Pd  0.0000  0.2500  0.5000 (multiplicity 12)
Pt  0.0000  0.0000  0.0000 (multiplicity 2)

Computed properties:
ΔE_f   -0.22 eV/atom
Volume   558.62 Å³ per cell
ρ   9.890 Mg/m³